a.
Ac4Ge2I5, relaxed, DFT PBE; D(E_F) = 2.61 states/eV/f.u.
1.0
12.542 -2.272 0.000
12.542 2.272 0.000
-0.024 0.000 9.164
Ac Ge I
4 2 5
Direct
0.010 0.010 0.211
0.339 0.339 0.944
0.661 0.661 0.056
0.990 0.990 0.789
0.451 0.451 0.020
0.549 0.549 0.980
0.142 0.142 0.319
0.208 0.208 0.814
0.500 0.500 0.500
0.792 0.792 0.186
0.858 0.858 0.681

***

b.
Ac4Ge2I5, relaxed, DFT PBE; D(E_F) = 3.22 states/eV/f.u.
1.0
5.050 0.000 0.000
-1.238 10.114 0.000
-2.470 -2.306 9.891
Ac Ge I
4 2 5
Direct
0.094 0.262 0.001
0.392 0.418 0.708
0.608 0.582 0.292
0.906 0.738 0.999
0.329 0.570 0.979
0.671 0.430 0.021
0.134 0.354 0.352
0.173 0.816 0.338
0.500 0.000 0.000
0.827 0.184 0.662
0.866 0.646 0.648

***

Stability comparison, relative energies in eV/atom: a 0.000; b 0.025

***

a.
Ac4In2Ge, relaxed, DFT PBE; D(E_F) = 9.16 states/eV/f.u.
1.0
6.252 -2.518 0.000
6.252 2.518 0.000
-4.775 0.000 8.197
Ac In Ge
4 2 1
Direct
0.085 0.085 0.372
0.321 0.321 0.922
0.679 0.679 0.078
0.915 0.915 0.628
0.371 0.371 0.341
0.629 0.629 0.659
0.000 0.000 0.000

***

b.
Ac4In2Ge, relaxed, DFT PBE; D(E_F) = 1.12 states/eV/f.u.
1.0
-3.005 3.005 8.189
3.005 -3.005 8.189
3.005 3.005 -8.189
Ac In Ge
4 2 1
Direct
0.000 0.500 0.500
0.187 0.187 0.000
0.500 0.000 0.500
0.813 0.813 0.000
0.387 0.387 0.000
0.613 0.613 0.000
0.000 0.000 0.000

***

Stability comparison, relative energies in eV/atom: a 0.000; b 0.177

***

a.
Ac3In2Ge, relaxed, DFT PBE; D(E_F) = 6.16 states/eV/f.u.
1.0
13.565 0.000 0.000
0.000 4.535 0.000
0.000 0.000 13.628
Ac In Ge
12 8 4
Direct
0.055 0.250 0.122
0.117 0.750 0.545
0.224 0.250 0.783
0.276 0.750 0.283
0.383 0.250 0.045
0.445 0.750 0.622
0.555 0.250 0.378
0.617 0.750 0.955
0.724 0.250 0.717
0.776 0.750 0.217
0.883 0.250 0.455
0.945 0.750 0.878
0.010 0.750 0.307
0.189 0.750 0.989
0.311 0.250 0.489
0.490 0.250 0.807
0.510 0.750 0.193
0.689 0.750 0.511
0.811 0.250 0.011
0.990 0.250 0.693
0.126 0.250 0.367
0.374 0.750 0.867
0.626 0.250 0.133
0.874 0.750 0.633

***

b.
Ac3In2Ge, relaxed, DFT PBE; D(E_F) = 4.07 states/eV/f.u.
1.0
6.826 0.000 0.000
0.715 7.380 0.000
2.444 1.600 8.051
Ac In Ge
6 4 2
Direct
0.044 0.088 0.211
0.297 0.613 0.160
0.423 0.266 0.481
0.577 0.734 0.519
0.703 0.387 0.840
0.956 0.912 0.789
0.197 0.427 0.845
0.429 0.977 0.848
0.571 0.023 0.152
0.803 0.573 0.155
0.073 0.635 0.540
0.927 0.365 0.460

***

Stability comparison, relative energies in eV/atom: a 0.000; b 0.022

***

a.
AcIn2Ge, relaxed, DFT PBE; D(E_F) = 2.52 states/eV/f.u.
1.0
4.622 0.000 0.000
0.000 4.622 0.000
0.000 0.000 5.199
Ac In Ge
1 2 1
Direct
0.000 0.000 0.000
0.000 0.500 0.500
0.500 0.000 0.500
0.500 0.500 0.000

***

b.
AcIn2Ge, relaxed, DFT PBE; D(E_F) = 3.50 states/eV/f.u.
1.0
2.461 1.421 5.611
-2.461 1.421 5.611
0.000 -2.842 5.611
Ac In Ge
1 2 1
Direct
0.000 0.000 0.000
0.219 0.219 0.219
0.781 0.781 0.781
0.500 0.500 0.500

***

Stability comparison, relative energies in eV/atom: a 0.000; b 0.150

***

a.
AcIn2Ge, relaxed, DFT PBE; D(E_F) = 2.82 states/eV/f.u.
1.0
3.922 0.000 0.000
0.000 3.922 0.000
0.000 0.000 7.298
Ac In Ge
1 2 1
Direct
0.000 0.000 0.000
0.500 0.500 0.302
0.500 0.500 0.698
0.000 0.000 0.500

***

b.
AcIn2Ge, relaxed, DFT PBE; D(E_F) = 1.97 states/eV/f.u.
1.0
4.990 0.000 0.000
0.000 4.624 0.000
-1.701 0.000 10.040
Ac In Ge
2 4 2
Direct
0.059 0.250 0.213
0.941 0.750 0.787
0.253 0.750 0.492
0.427 0.750 0.067
0.573 0.250 0.933
0.747 0.250 0.508
0.328 0.250 0.668
0.672 0.750 0.332

***

Stability comparison, relative energies in eV/atom: a 0.121; b 0.000

***

a.
Ac4InGe, relaxed, DFT PBE; D(E_F) = 8.39 states/eV/f.u.
1.0
8.013 0.000 0.000
0.000 7.944 0.000
-0.088 0.000 7.889
Ac In Ge
8 2 2
Direct
0.151 0.167 0.173
0.151 0.333 0.673
0.329 0.653 0.145
0.329 0.847 0.645
0.671 0.153 0.355
0.671 0.347 0.855
0.849 0.667 0.327
0.849 0.833 0.827
0.500 0.000 0.000
0.500 0.500 0.500
0.000 0.000 0.500
0.000 0.500 0.000

***

b.
Ac4InGe, relaxed, DFT PBE; D(E_F) = 5.66 states/eV/f.u.
1.0
6.563 0.000 0.000
0.000 7.428 0.000
-1.090 0.000 9.175
Ac In Ge
8 2 2
Direct
0.129 0.008 0.260
0.129 0.492 0.260
0.353 0.250 0.645
0.365 0.750 0.946
0.635 0.250 0.054
0.647 0.750 0.355
0.871 0.508 0.740
0.871 0.992 0.740
0.265 0.750 0.579
0.735 0.250 0.421
0.152 0.250 0.964
0.848 0.750 0.036

***

Stability comparison, relative energies in eV/atom: a 0.146; b 0.000

***

a.
Ac3InGe3, relaxed, DFT PBE; D(E_F) = 1.29 states/eV/f.u.
1.0
9.339 0.000 0.000
-4.670 8.088 0.000
0.000 0.000 6.521
Ac In Ge
6 2 6
Direct
0.061 0.364 0.250
0.303 0.939 0.250
0.364 0.303 0.750
0.636 0.697 0.250
0.697 0.061 0.750
0.939 0.636 0.750
0.333 0.667 0.750
0.667 0.333 0.250
0.058 0.365 0.750
0.307 0.942 0.750
0.365 0.307 0.250
0.635 0.693 0.750
0.693 0.058 0.250
0.942 0.635 0.250

***

b.
Ac3InGe3, relaxed, DFT PBE; D(E_F) = 5.00 states/eV/f.u.
1.0
-2.175 2.400 10.054
2.175 -2.400 10.054
2.175 2.400 -10.054
Ac In Ge
3 1 3
Direct
0.000 0.000 0.000
0.196 0.696 0.500
0.367 0.367 0.000
0.620 0.120 0.500
0.533 0.533 0.000
0.756 0.256 0.500
0.835 0.835 0.000

***

Stability comparison, relative energies in eV/atom: a 0.061; b 0.000

***

a.
Ac2Ge6Ir, relaxed, DFT PBE; D(E_F) = 3.89 states/eV/f.u.
1.0
4.413 0.000 0.000
0.000 2.094 11.603
0.000 -2.094 11.603
Ac Ge Ir
2 6 1
Direct
0.000 0.000 0.000
0.000 0.331 0.331
0.000 0.610 0.610
0.000 0.717 0.717
0.500 0.106 0.106
0.500 0.213 0.213
0.500 0.447 0.447
0.500 0.881 0.881
0.500 0.772 0.772

***

b.
Ac2Ge6Ir, relaxed, DFT PBE; D(E_F) = 3.22 states/eV/f.u.
1.0
6.453 0.000 0.000
-3.226 5.588 0.000
0.000 0.000 5.449
Ac Ge Ir
2 6 1
Direct
0.333 0.667 0.182
0.667 0.333 0.818
0.168 0.336 0.681
0.168 0.832 0.681
0.336 0.168 0.319
0.664 0.832 0.681
0.832 0.168 0.319
0.832 0.664 0.319
0.000 0.000 0.000

***

Stability comparison, relative energies in eV/atom: a 0.053; b 0.000